The following is a DFT calculation (PBE) of a geometry-optimized ErScIrRu structure.

Output
**Total energy**: -7.993 eV/atom
**Symmetry**: F-43m (216)
**Crystal system**: cubic
**DFT formation energy**: -0.74 eV per atom

a = 6.6003 Å, b = 6.6003 Å, c = 6.6003 Å
α = 90.00°, β = 90.00°, γ = 90.00°
Last column: nearest neighbours and their distance in Å.
Fractional positions:
Er  0.0000  0.0000  0.0000  4 Ru 2.86, 4 Ir 2.86
Er  0.0000  0.5000  0.5000  4 Ru 2.86, 4 Ir 2.86
Er  0.5000  0.0000  0.5000  4 Ru 2.86, 4 Ir 2.86
Er  0.5000  0.5000  0.0000  4 Ru 2.86, 4 Ir 2.86
Sc  0.0000  0.0000  0.5000  4 Ir 2.86, 4 Ru 2.86
Sc  0.0000  0.5000  0.0000  4 Ir 2.86, 4 Ru 2.86
Sc  0.5000  0.0000  0.0000  4 Ir 2.86, 4 Ru 2.86
Sc  0.5000  0.5000  0.5000  4 Ir 2.86, 4 Ru 2.86
Ir  0.2500  0.2500  0.7500  4 Er 2.86, 4 Sc 2.86
Ir  0.2500  0.7500  0.2500  4 Er 2.86, 4 Sc 2.86
Ir  0.7500  0.2500  0.2500  4 Er 2.86, 4 Sc 2.86
Ir  0.7500  0.7500  0.7500  4 Er 2.86, 4 Sc 2.86
Ru  0.2500  0.2500  0.2500  4 Er 2.86, 4 Sc 2.86
Ru  0.2500  0.7500  0.7500  4 Er 2.86, 4 Sc 2.86
Ru  0.7500  0.2500  0.7500  4 Er 2.86, 4 Sc 2.86
Ru  0.7500  0.7500  0.2500  4 Er 2.86, 4 Sc 2.86